Record 1
{
  "formula": "LaCuSi",
  "functional": "PBE-GGA",
  "state": "relaxed",
  "lattice_angstrom": [[4.2595, 0.0000, 0.0000], [-2.1297, 3.6888, 0.0000], [0.0000, 0.0000, 8.2055]],
  "species": ["Si", "Si", "Cu", "Cu", "La", "La"],
  "fractional_positions": [[0.3333, 0.6667, 0.7500], [0.6667, 0.3333, 0.2500], [0.6667, 0.3333, 0.7500], [0.3333, 0.6667, 0.2500], [0.0000, 0.0000, 0.0000], [0.0000, 0.0000, 0.5000]],
  "spacegroup": "P6_3/mmc, No. 194",
  "crystal_system": "hexagonal",
  "magmom_total_mub_per_atom": 0.00,
  "raw_formation_energy_ev_per_atom": -0.6201,
  "vol_a3_per_fu": 64.46
}


Record 2
{
  "formula": "La8CuSi2",
  "functional": "PBE-GGA",
  "state": "relaxed",
  "lattice_angstrom": [[4.7212, 0.0000, -1.2746], [-0.4881, 7.1232, -1.8079], [0.0979, -0.2947, 9.7438]],
  "species": ["Si", "Si", "La", "La", "La", "La", "La", "La", "La", "La", "Cu"],
  "fractional_positions": [[0.8201, 0.2827, 0.6401], [0.1799, 0.7173, 0.3599], [0.5912, 0.4689, 0.1824], [0.2108, 0.3193, 0.4216], [0.6629, 0.9755, 0.3258], [0.9816, 0.2171, 0.9631], [0.4088, 0.5311, 0.8176], [0.7892, 0.6807, 0.5784], [0.0184, 0.7829, 0.0369], [0.3371, 0.0245, 0.6742], [0.5000, 0.0000, 0.0000]],
  "spacegroup": "C2/m, No. 12",
  "crystal_system": "monoclinic",
  "magmom_total_mub_per_atom": 0.00,
  "raw_formation_energy_ev_per_atom": -0.2760,
  "vol_a3_per_fu": 325.88
}


no.,calculated total energy (eV per cell)
1,-32.6
2,-57.4